(1)
3
Lattice="3.838 0.000 0.000 0.000 3.838 0.000 -1.919 -1.919 6.270" Properties=species:S:1:pos:R:3 comment="AcMgSc | the Alexandria database | PBE | relaxed" polymorph_energy_ev_per_atom=0.000 magnetic_moment_mub_per_cell=0.0 formation_enthalpy_0k_kj_per_mol_fu=11 space_group=I4mm crystal_system=tetragonal pbc="T T T"
Sc 0.000 0.000 3.915
Ac 1.919 1.919 6.262
Mg 1.919 1.919 2.364

***

(2)
20
Lattice="-4.420 4.614 1.242 -4.839 -3.509 -4.188 -2.938 -4.666 7.304" Properties=species:S:1:pos:R:3 comment="Ac2VCuS6 | the Alexandria database | PBE | relaxed" magnetic_moment_mub_per_cell=0.3 raw_formation_energy_ev_per_atom=-1.318 space_group=P2_1/c crystal_system=monoclinic pbc="T T T"
Ac -5.258 -4.179 -1.935
Ac -7.436 -3.116 3.637
Ac -6.939 0.619 6.293
Ac -4.761 -0.444 0.721
V -3.679 -0.026 4.273
V -2.419 -1.754 -2.094
Cu -2.210 2.307 0.621
Cu -3.888 -4.087 1.558
S -4.728 -1.169 -2.163
S -9.118 -1.710 1.495
S -7.469 -2.392 6.521
S -3.080 -1.851 2.863
S -6.197 -3.140 0.781
S -10.278 -3.458 4.706
S -6.000 -0.420 3.577
S -1.919 -0.102 -0.348
S -7.258 1.263 0.848
S -8.844 -5.064 1.865
S -4.939 -4.823 3.510
S -3.353 1.504 2.493

***

(3)
4
Lattice="-0.125 0.105 -4.354 -0.485 -4.005 -1.646 -2.146 2.219 3.074" Properties=species:S:1:pos:R:3 comment="Be2PIr | the Alexandria database | PBE | relaxed" magnetic_moment_mub_per_cell=0.0 formation_enthalpy_0k_kj_per_mol_fu=-67 space_group=I4/mmm crystal_system=tetragonal pbc="T T T"
P -1.468 -1.868 -0.786
Ir -1.288 0.187 -2.140
Be 0.000 0.000 -0.001
Be -0.305 -1.949 -2.999

***

(4)
4
Lattice="-1.805 -4.730 -0.076 2.759 -3.793 1.907 -1.416 -2.239 4.315" Properties=species:S:1:pos:R:3 comment="SbAu | the Alexandria database | PBE | relaxed" magnetic_moment_mub_per_cell=0.0 raw_formation_energy_ev_per_atom=0.205 space_group=Fd-3m crystal_system=cubic pbc="T T T"
Au 0.000 0.000 0.000
Au -0.115 -2.691 1.537
Sb -0.231 -5.381 3.073
Sb -0.346 -8.072 4.610

***

(5)
4
Lattice="5.555 0.000 0.000 2.777 4.811 0.000 2.777 1.604 4.535" Properties=species:S:1:pos:R:3 comment="InHgTePb | the Alexandria database | PBE | relaxed" polymorph_energy_ev_per_atom=0.038 magnetic_moment_mub_per_cell=0.0 raw_formation_energy_ev_per_atom=-0.049 space_group=F-43m crystal_system=cubic pbc="T T T"
Pb 0.000 0.000 0.000
Te 2.777 1.604 1.134
Hg 8.332 4.811 3.402
In 5.555 3.207 2.268

***

(6)
15
Lattice="-5.838 -3.020 0.338 2.884 -6.298 -6.446 1.400 -1.674 9.207" Properties=species:S:1:pos:R:3 comment="Pm8Sm6Tl | the Alexandria database | PBE | relaxed" magnetic_moment_mub_per_cell=0.0 formation_enthalpy_0k_kj_per_mol_fu=107 space_group=P-3 crystal_system=trigonal pbc="T T T"
Pm -4.286 -3.175 2.489
Pm -1.588 -8.371 2.668
Pm -2.777 -5.515 7.642
Pm 2.731 -7.816 0.611
Pm 0.034 -2.622 0.431
Pm 1.223 -5.477 -4.542
Pm -3.110 -5.804 4.280
Pm 1.556 -5.188 -1.180
Sm -1.924 -6.248 -3.068
Sm -0.532 -8.656 -0.536
Sm -2.127 -5.445 0.601
Sm 0.371 -4.745 6.169
Sm -1.023 -2.335 3.636
Sm 0.573 -5.548 2.497
Tl -2.919 -1.510 0.169

***

(7)
12
Lattice="5.965 0.000 0.000 2.983 7.576 -2.651 2.983 -0.901 9.169" Properties=species:S:1:pos:R:3 comment="La3Dy4Ho5 | the Alexandria database | PBE | relaxed" polymorph_energy_ev_per_atom=0.220 magnetic_moment_mub_per_cell=0.0 formation_enthalpy_0k_kj_per_mol_fu=286 space_group=C2/m crystal_system=monoclinic pbc="T T T"
La 5.965 4.958 0.666
La 2.983 3.337 3.259
La 5.965 1.716 5.852
Dy 5.965 1.629 -0.040
Dy 2.983 -0.277 5.648
Dy 8.948 6.952 0.870
Dy 5.965 5.046 6.558
Ho 8.948 6.475 4.856
Ho 5.965 3.337 3.259
Ho 2.983 3.334 -0.201
Ho 8.948 3.340 6.719
Ho 2.983 0.199 1.662

***

(8)
4
Lattice="4.278 0.000 0.000 0.000 4.722 0.007 0.000 2.351 5.873" Properties=species:S:1:pos:R:3 comment="Sr2AlCo | the Alexandria database | PBE | relaxed" magnetic_moment_mub_per_cell=0.0 formation_enthalpy_0k_kj_per_mol_fu=20 space_group=Amm2 crystal_system=orthorhombic pbc="T T T"
Sr 0.000 6.778 5.362
Sr 2.139 2.062 2.051
Co 2.139 4.420 4.161
Al 0.000 4.422 3.127

***

(9)
5
Lattice="5.580 0.000 0.000 0.000 5.580 0.000 0.000 0.000 5.354" Properties=species:S:1:pos:R:3 comment="LaPtS2Cl | the Alexandria database | PBE | relaxed" polymorph_energy_ev_per_atom=0.967 magnetic_moment_mub_per_cell=2.0 raw_formation_energy_ev_per_atom=0.036 space_group=P4/mmm crystal_system=tetragonal pbc="T T T"
S 0.000 2.790 0.000
S 2.790 0.000 0.000
Cl 0.000 0.000 2.677
Pt 2.790 2.790 2.677
La 0.000 0.000 0.000

***

(10)
10
Lattice="8.856 0.000 0.000 0.000 8.856 0.000 0.000 0.000 3.118" Properties=species:S:1:pos:R:3 comment="LaMg2Cd2 | the Alexandria database | PBE | relaxed" polymorph_energy_ev_per_atom=0.048 magnetic_moment_mub_per_cell=0.0 formation_enthalpy_0k_kj_per_mol_fu=-85 space_group=P4/mbm crystal_system=tetragonal pbc="T T T"
Mg 3.322 7.750 0.000
Mg 7.750 5.534 0.000
Mg 5.534 1.106 0.000
Mg 1.106 3.322 0.000
Cd 1.513 5.941 1.559
Cd 5.941 7.343 1.559
Cd 7.343 2.915 1.559
Cd 2.915 1.513 1.559
La 0.000 0.000 0.000
La 4.428 4.428 0.000

***

(11)
4
Lattice="2.761 0.013 0.000 -1.198 2.488 0.000 0.000 0.000 8.923" Properties=species:S:1:pos:R:3 comment="Re2SiAu | the Alexandria database | PBE | relaxed" magnetic_moment_mub_per_cell=0.0 raw_formation_energy_ev_per_atom=0.391 space_group=Cmmm crystal_system=orthorhombic pbc="T T T"
Au 0.782 1.251 6.692
Re 0.000 0.000 0.260
Re 0.000 0.000 4.202
Si 0.782 1.251 2.231

***

(12)
4
Lattice="7.385 0.000 -0.002 3.212 6.650 0.002 -4.226 -5.033 3.367" Properties=species:S:1:pos:R:3 comment="BaLa3 | the Alexandria database | PBE | relaxed" polymorph_energy_ev_per_atom=0.072 magnetic_moment_mub_per_cell=0.0 formation_enthalpy_0k_kj_per_mol_fu=60 space_group=Imm2 crystal_system=orthorhombic pbc="T T T"
Ba 0.024 -0.039 0.026
La 1.069 -1.703 3.364
La 4.611 -1.759 2.232
La 2.790 1.732 2.234